BaNbCo2Br: optimized geometry, PBE-GGA.

abc: 4.6504 5.4596 4.6504
angles: 90.00 90.00 90.00
Element x y z (fractional)
1 Co 0.0000 0.0000 0.5000
2 Ba 0.5000 0.5000 0.5000
3 Co 0.5000 0.0000 0.0000
4 Br 0.0000 0.5000 0.0000
5 Nb 0.0000 0.0000 0.0000

Calculated values
As for the total energy: -5.254 eV per atom. The value obtained for the mass density is 6.02 Mg/m³. The total magnetic moment is 0.9 μB per cell. The formation energy without anion corrections comes out at 1.606 eV/f.u.



HfSnSb2I: optimized geometry, PBE-GGA.

abc: 5.5794 5.6194 5.5794
angles: 90.00 90.00 90.00
Element x y z (fractional)
1 I 0.0000 0.5000 0.0000
2 Hf 0.5000 0.5000 0.5000
3 Sb 0.5000 0.0000 0.0000
4 Sn 0.0000 0.0000 0.0000
5 Sb 0.0000 0.0000 0.5000

Calculated values
As for the total energy: -3.754 eV per atom. The value obtained for the mass density is 6.34 Mg/m³. The total magnetic moment is 0.0 μB per cell. For the polymorph energy (0 for the lowest one), the calculation gives 781 meV/atom. The formation energy without anion corrections comes out at 4.982 eV/f.u.



PmDy8Y3: optimized geometry, PBE-GGA.

abc: 8.3592 8.3592 8.3592
angles: 94.50 117.44 117.44
Element x y z (fractional)
1 Dy 0.5059 0.7464 0.7464
2 Y 0.0000 0.5000 0.5000
3 Dy 0.7480 0.1212 0.1212
4 Y 0.5000 0.2500 0.7500
5 Pm 0.0000 0.0000 0.0000
6 Dy 0.0000 0.6267 0.8788
7 Y 0.5000 0.7500 0.2500
8 Dy 0.0000 0.8788 0.6267
9 Dy 0.0000 0.2536 0.7595
10 Dy 0.4941 0.2405 0.2405
11 Dy 0.2520 0.3733 0.3733
12 Dy 0.0000 0.7595 0.2536

Calculated values
As for the total energy: -4.423 eV per atom. The calculation puts the formation energy at 7.9 eV per formula unit. The value obtained for the mass density is 6.65 Mg/m³. The total magnetic moment is 0.0 μB per cell.



> Which formula does entry 3 have?

PmDy8Y3